Below is a geometry-optimized NaMnGe2Cl8 structure, with properties calculated at the GGA-PBE level.

Calculated values
The calculation puts the uncorrected formation energy at -1.006 eV/atom. As for the symmetry: No. 2.

a b c (Å): 6.8594 6.1248 8.0067
angles (deg): 91.57 85.64 89.36
Last column: magnetic moment on the atom in μB.
Fractional positions:
1 Cl 0.7212 0.7868 0.0380  -0.01
2 Cl 0.8486 0.1849 0.8064  0.01
3 Cl 0.1514 0.8151 0.1936  0.01
4 Cl 0.3472 0.2692 0.5126  0.00
5 Cl 0.1360 0.7137 0.7429  0.03
6 Cl 0.2788 0.2132 0.9620  -0.01
7 Cl 0.8640 0.2863 0.2571  0.03
8 Cl 0.6528 0.7308 0.4874  0.00
9 Mn 0.0000 0.0000 0.0000  3.67
10 Ge 0.4153 0.4823 0.7470  -0.01
11 Ge 0.5847 0.5177 0.2530  -0.01
12 Na 0.0000 0.0000 0.5000  0.00



Below is a geometry-optimized BAuCl3 structure, with properties calculated at the GGA-PBE level.

Calculated values
The calculation puts the uncorrected formation energy at 0.485 eV/atom. As for the symmetry: No. 221. The energy relative to the lowest polymorph listed for this composition is 0 meV per atom.

a b c (Å): 4.4489 4.4489 4.4489
angles (deg): 90.00 90.00 90.00
Fractional positions:
1 B 0.0000 0.0000 0.0000
2 Cl 0.0000 0.5000 0.0000
3 Cl 0.5000 0.0000 0.0000
4 Cl 0.0000 0.0000 0.5000
5 Au 0.5000 0.5000 0.5000



Below is a geometry-optimized GePOs3 structure, with properties calculated at the GGA-PBE level.

Calculated values
As for the symmetry: No. 221. The energy relative to the lowest polymorph listed for this composition is 0 meV per atom. The energy of formation from the pure elements comes out at 1.066 eV per atom.

a b c (Å): 4.3935 4.3935 4.3935
angles (deg): 90.00 90.00 90.00
Fractional positions:
1 Ge 0.5000 0.5000 0.5000
2 Os 0.0000 0.5000 0.0000
3 Os 0.5000 0.0000 0.0000
4 Os 0.0000 0.0000 0.5000
5 P 0.0000 0.0000 0.0000



Below is a geometry-optimized Sc2Tc structure, with properties calculated at the GGA-PBE level.

Calculated values
As for the symmetry: No. 71. The energy relative to the lowest polymorph listed for this composition is 261 meV per atom. The energy of formation from the pure elements comes out at 0.049 eV per atom.

a b c (Å): 3.1857 5.0450 7.4905
angles (deg): 90.00 90.00 90.00
Fractional positions:
1 Sc 0.0000 0.5008 0.7999
2 Sc 0.5000 0.0008 0.7001
3 Sc 0.0000 0.4992 0.2001
4 Sc 0.5000 0.9992 0.2999
5 Tc 0.0000 0.0000 0.0000
6 Tc 0.5000 0.5000 0.5000



Below is a geometry-optimized Er3U2S8 structure, with properties calculated at the GGA-PBE level.

Calculated values
The calculation puts the uncorrected formation energy at -1.701 eV/atom. As for the symmetry: No. 12.

a b c (Å): 6.5868 7.8099 7.9952
angles (deg): 119.24 107.14 90.00
Last column: magnetic moment on the atom in μB.
Fractional positions:
1 S 0.8952 0.6115 0.2229  -0.03
2 S 0.0752 0.8844 0.7688  -0.02
3 S 0.5857 0.6438 0.7506  -0.04
4 S 0.5857 0.1069 0.7506  -0.04
5 S 0.4143 0.8931 0.2494  -0.04
6 S 0.4143 0.3562 0.2494  -0.04
7 S 0.9248 0.1156 0.2312  -0.02
8 S 0.1048 0.3885 0.7771  -0.03
9 U 0.3353 0.2615 0.5231  2.43
10 U 0.6647 0.7385 0.4769  2.43
11 Er 0.0000 0.2611 0.0000  0.01
12 Er 0.5000 0.0000 0.0000  0.02
13 Er 0.0000 0.7389 0.0000  0.01



Below is a geometry-optimized KRbThF6 structure, with properties calculated at the GGA-PBE level.

Calculated values
The calculation puts the uncorrected formation energy at -3.555 eV/atom. As for the symmetry: No. 163.

a b c (Å): 6.8262 6.8262 10.2207
angles (deg): 90.00 90.00 120.00
Fractional positions:
1 F 0.9513 0.3401 0.1359
2 F 0.0487 0.6599 0.8641
3 F 0.0487 0.3889 0.6359
4 F 0.6599 0.0487 0.3641
5 F 0.3401 0.3889 0.8641
6 F 0.3401 0.9513 0.6359
7 F 0.9513 0.6111 0.3641
8 F 0.3889 0.3401 0.3641
9 F 0.3889 0.0487 0.1359
10 F 0.6111 0.6599 0.6359
11 F 0.6599 0.6111 0.1359
12 F 0.6111 0.9513 0.8641
13 K 0.6667 0.3333 0.7500
14 K 0.3333 0.6667 0.2500
15 Rb 0.0000 0.0000 0.5000
16 Rb 0.0000 0.0000 0.0000
17 Th 0.6667 0.3333 0.2500
18 Th 0.3333 0.6667 0.7500



Below is a geometry-optimized La2CdGaH structure, with properties calculated at the GGA-PBE level.

Calculated values
As for the symmetry: No. 123. The energy relative to the lowest polymorph listed for this composition is 31 meV per atom.

a b c (Å): 5.2363 5.2363 4.1747
angles (deg): 90.00 90.00 90.00
Fractional positions:
1 Ga 0.0000 0.0000 0.5000
2 Cd 0.5000 0.5000 0.5000
3 La 0.5000 0.0000 0.0000
4 La 0.0000 0.5000 0.0000
5 H 0.0000 0.0000 0.0000



Below is a geometry-optimized MnIr4Au structure, with properties calculated at the GGA-PBE level.

Calculated values
As for the symmetry: No. 216. The energy of formation from the pure elements comes out at 0.430 eV per atom.

a b c (Å): 5.1924 5.1924 5.1924
angles (deg): 60.00 60.00 60.00
Last column: magnetic moment on the atom in μB.
Fractional positions:
1 Ir 0.3752 0.3752 0.8745  -0.04
2 Ir 0.8745 0.3752 0.3752  -0.04
3 Ir 0.3752 0.3752 0.3752  -0.04
4 Ir 0.3752 0.8745 0.3752  -0.04
5 Mn 0.7500 0.7500 0.7500  4.01
6 Au 0.0000 0.0000 0.0000  -0.02



Below is a geometry-optimized ZrInW2 structure, with properties calculated at the GGA-PBE level.

Calculated values
As for the symmetry: No. 123. The energy of formation from the pure elements comes out at 0.437 eV per atom.

a b c (Å): 3.5317 3.5317 6.0594
angles (deg): 90.00 90.00 90.00
Fractional positions:
1 In 0.5000 0.5000 0.7500
2 W 0.0000 0.0000 0.5256
3 W 0.0000 0.0000 0.9744
4 Zr 0.5000 0.5000 0.2500



Below is a geometry-optimized Li2NdCu10 structure, with properties calculated at the GGA-PBE level.

Calculated values
As for the symmetry: No. 69. The energy of formation from the pure elements comes out at -0.044 eV per atom.

a b c (Å): 4.7931 6.6461 6.4804
angles (deg): 82.34 68.30 68.86
Fractional positions:
1 Cu 0.5000 0.0000 0.5000
2 Cu 0.7272 0.7696 0.7760
3 Cu 0.0073 0.3518 0.6337
4 Cu 0.9927 0.6482 0.3663
5 Cu 0.6410 0.3518 0.3663
6 Cu 0.4968 0.2304 0.7760
7 Cu 0.5032 0.7696 0.2240
8 Cu 0.0000 0.0000 0.5000
9 Cu 0.2728 0.2304 0.2240
10 Cu 0.3590 0.6482 0.6337
11 Nd 0.0000 0.0000 0.0000
12 Li 0.0000 0.5000 0.0000
13 Li 0.5000 0.5000 0.0000



Below is a geometry-optimized Tl3Cd4Hg2 structure, with properties calculated at the GGA-PBE level.

Calculated values
As for the symmetry: No. 12. The energy relative to the lowest polymorph listed for this composition is 0 meV per atom. The energy of formation from the pure elements comes out at 0.038 eV per atom.

a b c (Å): 5.1307 6.5348 9.2517
angles (deg): 118.32 90.00 113.11
Fractional positions:
1 Cd 0.9677 0.9354 0.6338
2 Cd 0.0323 0.0646 0.3662
3 Cd 0.7136 0.4273 0.0455
4 Cd 0.2864 0.5727 0.9545
5 Tl 0.0000 0.0000 0.0000
6 Tl 0.3325 0.6651 0.3342
7 Tl 0.6675 0.3349 0.6658
8 Hg 0.3735 0.7471 0.7069
9 Hg 0.6265 0.2529 0.2931



Below is a geometry-optimized YbRu6 structure, with properties calculated at the GGA-PBE level.

Calculated values
As for the symmetry: No. 229. The energy of formation from the pure elements comes out at 0.730 eV per atom.

a b c (Å): 5.8208 5.8208 5.8208
angles (deg): 109.47 109.47 109.47
Last column: magnetic moment on the atom in μB.
Fractional positions:
1 Ru 0.7500 0.5000 0.2500  0.00
2 Ru 0.2500 0.5000 0.7500  0.00
3 Ru 0.2500 0.7500 0.5000  0.00
4 Ru 0.5000 0.7500 0.2500  0.00
5 Ru 0.5000 0.2500 0.7500  0.00
6 Ru 0.7500 0.2500 0.5000  0.00
7 Yb 0.0000 0.0000 0.0000  0.28



Below is a geometry-optimized Tb5PrHoSc2 structure, with properties calculated at the GGA-PBE level.

Calculated values
As for the symmetry: No. 36. The energy of formation from the pure elements comes out at 0.169 eV per atom.

a b c (Å): 5.6193 11.1618 9.3557
angles (deg): 90.00 90.00 104.58
Fractional positions:
1 Tb 0.6075 0.2149 0.5468
2 Tb 0.4680 0.9359 0.7482
3 Tb 0.7339 0.4677 0.8320
4 Tb 0.3925 0.7851 0.0468
5 Tb 0.3071 0.6142 0.7185
6 Tb 0.0089 0.0178 0.0145
7 Tb 0.2661 0.5323 0.3320
8 Tb 0.9911 0.9822 0.5145
9 Tb 0.5320 0.0641 0.2482
10 Tb 0.6929 0.3858 0.2185
11 Sc 0.1368 0.2736 0.6998
12 Sc 0.1137 0.2273 0.3269
13 Sc 0.8632 0.7264 0.1998
14 Sc 0.8863 0.7727 0.8269
15 Pr 0.8160 0.6319 0.5188
16 Pr 0.1840 0.3681 0.0188
17 Ho 0.4033 0.8065 0.4186
18 Ho 0.5967 0.1935 0.9186



Below is a geometry-optimized Tl2Hg4Au structure, with properties calculated at the GGA-PBE level.

Calculated values
As for the symmetry: No. 164. The energy relative to the lowest polymorph listed for this composition is 9 meV per atom. The energy of formation from the pure elements comes out at 0.033 eV per atom.

a b c (Å): 3.4942 3.4942 17.9788
angles (deg): 90.00 90.00 120.00
Fractional positions:
1 Tl 0.0000 0.0000 0.7635
2 Tl 0.0000 0.0000 0.2365
3 Hg 0.6667 0.3333 0.0750
4 Hg 0.3333 0.6667 0.9250
5 Hg 0.3333 0.6667 0.6185
6 Hg 0.6667 0.3333 0.3815
7 Au 0.0000 0.0000 0.5000



Below is a geometry-optimized Nd3Er2Tm6Th structure, with properties calculated at the GGA-PBE level.

Calculated values
As for the symmetry: No. 12. The energy of formation from the pure elements comes out at 0.022 eV per atom.

a b c (Å): 6.1536 6.1536 11.7045
angles (deg): 95.04 95.04 120.01
Fractional positions:
1 Er 0.3332 0.6668 0.0000
2 Er 0.6668 0.3332 0.0000
3 Th 0.0000 0.0000 0.0000
4 Nd 0.8328 0.1672 0.5000
5 Nd 0.1672 0.8328 0.5000
6 Nd 0.5000 0.5000 0.5000
7 Tm 0.4126 0.0825 0.2460
8 Tm 0.7525 0.7525 0.2460
9 Tm 0.9175 0.5874 0.7540
10 Tm 0.5874 0.9175 0.7540
11 Tm 0.2475 0.2475 0.7540
12 Tm 0.0825 0.4126 0.2460



Below is a geometry-optimized Nb structure, with properties calculated at the GGA-PBE level.

Calculated values
As for the symmetry: No. 2. The energy relative to the lowest polymorph listed for this composition is 156 meV per atom. The energy of formation from the pure elements comes out at 0.156 eV per atom.

a b c (Å): 5.3930 6.9600 7.0762
angles (deg): 107.41 108.88 102.40
Fractional positions:
1 Nb 0.0275 0.9848 0.8902
2 Nb 0.0402 0.3999 0.2597
3 Nb 0.0804 0.1444 0.5024
4 Nb 0.5211 0.2145 0.3439
5 Nb 0.0675 0.7291 0.1326
6 Nb 0.5867 0.9144 0.0486
7 Nb 0.3344 0.8799 0.6056
8 Nb 0.7733 0.2492 0.7869
9 Nb 0.5539 0.5646 0.6962
10 Nb 0.6797 0.7311 0.3939
11 Nb 0.4279 0.3983 0.9986
12 Nb 0.0538 0.5646 0.6961



Below is a geometry-optimized LiHoZnCo structure, with properties calculated at the GGA-PBE level.

Calculated values
As for the symmetry: No. 216. The energy of formation from the pure elements comes out at -0.074 eV per atom.

a b c (Å): 4.5051 4.5051 4.5051
angles (deg): 60.00 60.00 60.00
Fractional positions:
1 Zn 0.7500 0.7500 0.7500
2 Co 0.5000 0.5000 0.5000
3 Ho 0.2500 0.2500 0.2500
4 Li 0.0000 0.0000 0.0000



Below is a geometry-optimized TiSiNi structure, with properties calculated at the GGA-PBE level.

Calculated values
The calculation puts the uncorrected formation energy at -0.845 eV/atom. As for the symmetry: No. 62.

a b c (Å): 3.6623 6.1580 7.0305
angles (deg): 90.00 90.00 90.00
Fractional positions:
1 Ti 0.2500 0.0232 0.1809
2 Ti 0.2500 0.5232 0.3191
3 Ti 0.7500 0.4768 0.6809
4 Ti 0.7500 0.9768 0.8191
5 Ni 0.7500 0.3592 0.0600
6 Ni 0.2500 0.1408 0.5600
7 Ni 0.2500 0.6408 0.9400
8 Ni 0.7500 0.8592 0.4400
9 Si 0.7500 0.2345 0.3777
10 Si 0.2500 0.7655 0.6223
11 Si 0.2500 0.2655 0.8777
12 Si 0.7500 0.7345 0.1223



Below is a geometry-optimized Th3CoPd structure, with properties calculated at the GGA-PBE level.

Calculated values
As for the symmetry: No. 14. The energy relative to the lowest polymorph listed for this composition is 0 meV per atom. The energy of formation from the pure elements comes out at -0.352 eV per atom.

a b c (Å): 7.4326 8.1439 8.8299
angles (deg): 106.25 90.00 90.00
Fractional positions:
1 Th 0.3435 0.1218 0.8202
2 Th 0.4958 0.7215 0.5765
3 Th 0.9958 0.7785 0.4235
4 Th 0.3262 0.5054 0.1454
5 Th 0.1565 0.6218 0.8202
6 Th 0.5042 0.2785 0.4235
7 Th 0.6738 0.4946 0.8546
8 Th 0.8262 0.9946 0.8546
9 Th 0.6565 0.8782 0.1798
10 Th 0.0042 0.2215 0.5765
11 Th 0.1738 0.0054 0.1454
12 Th 0.8435 0.3782 0.1798
13 Pd 0.8212 0.5324 0.5584
14 Pd 0.3212 0.9676 0.4416
15 Pd 0.6788 0.0324 0.5584
16 Pd 0.1788 0.4676 0.4416
17 Co 0.5305 0.1776 0.0877
18 Co 0.4695 0.8224 0.9123
19 Co 0.9695 0.6776 0.0877
20 Co 0.0305 0.3224 0.9123



Below is a geometry-optimized Na4CoRh3S8 structure, with properties calculated at the GGA-PBE level.

Calculated values
The calculation puts the uncorrected formation energy at -0.717 eV/atom. As for the symmetry: No. 166.

a b c (Å): 7.2077 7.5258 7.2087
angles (deg): 118.65 120.00 90.00
Fractional positions:
1 Na 0.0000 0.0000 0.0000
2 Na 0.5000 0.0000 0.0000
3 Na 0.0000 0.0000 0.5000
4 Na 0.5000 0.0000 0.5000
5 S 0.7773 0.3154 0.0379
6 S 0.2607 0.3154 0.0379
7 S 0.2699 0.3099 0.5399
8 S 0.7393 0.6846 0.9621
9 S 0.7301 0.6901 0.4601
10 S 0.2227 0.6846 0.9621
11 S 0.2228 0.6846 0.4455
12 S 0.7772 0.3154 0.5545
13 Co 0.0000 0.5000 0.0000
14 Rh 0.0000 0.5000 0.5000
15 Rh 0.5000 0.5000 0.0000
16 Rh 0.5000 0.5000 0.5000



Below is a geometry-optimized SrNpUO6 structure, with properties calculated at the GGA-PBE level.

Calculated values
The calculation puts the uncorrected formation energy at -2.993 eV/atom. As for the symmetry: No. 163.

a b c (Å): 5.8825 5.8825 9.3511
angles (deg): 90.00 90.00 120.00
Last column: magnetic moment on the atom in μB.
Fractional positions:
1 O 0.7079 0.0530 0.3751  -0.05
2 O 0.6549 0.7079 0.6249  -0.05
3 O 0.7079 0.6549 0.1249  -0.05
4 O 0.6549 0.9470 0.8751  -0.05
5 O 0.0530 0.7079 0.8751  -0.05
6 O 0.2921 0.9470 0.6249  -0.05
7 O 0.0530 0.3451 0.6249  -0.05
8 O 0.9470 0.6549 0.3751  -0.05
9 O 0.9470 0.2921 0.1249  -0.05
10 O 0.2921 0.3451 0.8751  -0.05
11 O 0.3451 0.2921 0.3751  -0.05
12 O 0.3451 0.0530 0.1249  -0.05
13 U 0.6667 0.3333 0.2500  0.56
14 U 0.3333 0.6667 0.7500  0.56
15 Np 0.0000 0.0000 0.0000  2.71
16 Np 0.0000 0.0000 0.5000  2.71
17 Sr 0.6667 0.3333 0.7500  0.00
18 Sr 0.3333 0.6667 0.2500  0.00



Below is a geometry-optimized Sc3NbS structure, with properties calculated at the GGA-PBE level.

Calculated values
The calculation puts the uncorrected formation energy at -0.325 eV/atom. As for the symmetry: No. 221. The energy relative to the lowest polymorph listed for this composition is 0 meV per atom.

a b c (Å): 4.7974 4.7974 4.7974
angles (deg): 90.00 90.00 90.00
Fractional positions:
1 S 0.0000 0.0000 0.0000
2 Sc 0.0000 0.5000 0.0000
3 Sc 0.0000 0.0000 0.5000
4 Sc 0.5000 0.0000 0.0000
5 Nb 0.5000 0.5000 0.5000



Number 1: size of the total moment 0.330 μB per atom. Number 2: size of the total moment 0.000 μB per atom. Number 3: size of the total moment 0.000 μB per atom. Number 4: size of the total moment 0.000 μB per atom. Number 5: size of the total moment 0.385 μB per atom. Number 6: size of the total moment 0.000 μB per atom. Number 7: size of the total moment 0.000 μB per atom. Number 8: size of the total moment 0.673 μB per atom. Number 9: size of the total moment 0.000 μB per atom. Number 10: size of the total moment 0.000 μB per atom. Number 11: size of the total moment 0.000 μB per atom. Number 12: size of the total moment 0.042 μB per atom. Number 13: size of the total moment 0.000 μB per atom. Number 14: size of the total moment 0.000 μB per atom. Number 15: size of the total moment 0.000 μB per atom. Number 16: size of the total moment 0.000 μB per atom. Number 17: size of the total moment 0.000 μB per atom. Number 18: size of the total moment 0.000 μB per atom. Number 19: size of the total moment 0.000 μB per atom. Number 20: size of the total moment 0.000 μB per atom. Number 21: size of the total moment 0.333 μB per atom. Number 22: size of the total moment 0.003 μB per atom.